1.
Mg2TeMo after structural relaxation. Source: Alexandria, functional PBE.

The structure in CIF format:
```
data_Mg2TeMo
_symmetry_space_group_name_H-M 'P 1'
_symmetry_Int_Tables_number 1
_symmetry_space_group_name_Hall 'P 1'
_cell_length_a 4.922
_cell_length_b 3.080
_cell_length_c 5.435
_cell_angle_alpha 77.42
_cell_angle_beta 90.00
_cell_angle_gamma 90.00
loop_
_atom_site_label
_atom_site_fract_x
_atom_site_fract_y
_atom_site_fract_z
Te1 0.500 0.750 0.750
Mg1 0.000 0.498 0.484
Mg2 0.000 0.002 0.016
Mo1 0.500 0.250 0.250
```

The value obtained for the uncorrected formation energy is 0.407 eV per atom. The calculation puts the density at 5.6 g cm⁻³. As for the space group: No. 10. The crystal system is monoclinic.

---

2.
La2Cu2S after structural relaxation. Source: Alexandria, functional PBE.

The structure in CIF format:
```
data_La2Cu2S
_symmetry_space_group_name_H-M 'P 1'
_symmetry_Int_Tables_number 1
_symmetry_space_group_name_Hall 'P 1'
_cell_length_a 7.893
_cell_length_b 7.893
_cell_length_c 4.114
_cell_angle_alpha 90.00
_cell_angle_beta 90.00
_cell_angle_gamma 90.00
loop_
_atom_site_label
_atom_site_fract_x
_atom_site_fract_y
_atom_site_fract_z
Cu1 0.607 0.893 0.500
Cu2 0.107 0.607 0.500
Cu3 0.393 0.107 0.500
Cu4 0.893 0.393 0.500
La1 0.186 0.314 0.000
La2 0.686 0.186 0.000
La3 0.314 0.814 0.000
La4 0.814 0.686 0.000
S1 0.000 0.000 0.000
S2 0.500 0.500 0.000
```

The value obtained for the uncorrected formation energy is -0.595 eV per atom. The calculation puts the density at 5.7 g cm⁻³. As for the space group: No. 127. The crystal system is tetragonal.

---

What is the formula in the first record? Mg2TeMo

---

Which formula does entry 1 have? Mg2TeMo